1.
DFT (PBE-GGA) results for crystalline Tl3CdBr6 at its relaxed geometry.

Values from the calculation:
Calculated total energy = -25.03 eV/cell
Space-group type = Fm-3m
Calculated volume = 362.6 Å³/cell

abc: 8.0040 8.0040 8.0040
angles: 60.00 60.00 60.00
With the nearest neighbours (Å) after each atom.
Fractional coordinates of all 10 atoms:
1 Tl 0.7500 0.7500 0.7500  12 Br 4.00
2 Tl 0.2500 0.2500 0.2500  12 Br 4.00
3 Tl 0.5000 0.5000 0.5000  6 Br 2.90
4 Br 0.2435 0.7565 0.7565  1 Cd 2.76, 1 Tl 2.90
5 Br 0.7565 0.2435 0.7565  1 Cd 2.76, 1 Tl 2.90
6 Br 0.7565 0.7565 0.2435  1 Cd 2.76, 1 Tl 2.90
7 Br 0.7565 0.2435 0.2435  1 Cd 2.76, 1 Tl 2.90
8 Br 0.2435 0.2435 0.7565  1 Cd 2.76, 1 Tl 2.90
9 Br 0.2435 0.7565 0.2435  1 Cd 2.76, 1 Tl 2.90
10 Cd 0.0000 0.0000 0.0000  6 Br 2.76



2.
DFT (PBE-GGA) results for crystalline BaDyCd at its relaxed geometry.

Values from the calculation:
Calculated total energy = -6.90 eV/cell
Space-group type = F-43m
Calculated volume = 118.7 Å³/cell

abc: 5.5169 5.5169 5.5169
angles: 60.00 60.00 60.00
With the nearest neighbours (Å) after each atom.
Fractional coordinates of all 3 atoms:
1 Ba 0.2500 0.2500 0.2500  4 Cd 3.38
2 Cd 0.0000 0.0000 0.0000  4 Ba 3.38, 4 Dy 3.38
3 Dy 0.7500 0.7500 0.7500  4 Cd 3.38



3.
DFT (PBE-GGA) results for crystalline NaTmGeO4 at its relaxed geometry.

Values from the calculation:
Calculated total energy = -190.87 eV/cell
Space-group type = Pnma
Calculated volume = 374.5 Å³/cell

abc: 5.2323 6.3413 11.2870
angles: 90.00 90.00 90.00
With the nearest neighbours (Å) after each atom.
Fractional coordinates of all 28 atoms:
1 Tm 0.9947 0.7500 0.2232  6 O 2.18-2.30
2 Tm 0.5053 0.7500 0.7232  6 O 2.18-2.30
3 Tm 0.4947 0.2500 0.2768  6 O 2.18-2.30
4 Tm 0.0053 0.2500 0.7768  6 O 2.18-2.30
5 O 0.7107 0.9611 0.3245  1 Ge 1.80
6 O 0.2223 0.7500 0.3896  1 Ge 1.73
7 O 0.1747 0.2500 0.9527  1 Ge 1.75
8 O 0.3253 0.2500 0.4527  1 Ge 1.75
9 O 0.7893 0.5389 0.8245  1 Ge 1.80
10 O 0.7893 0.9611 0.8245  1 Ge 1.80
11 O 0.7107 0.5389 0.3245  1 Ge 1.80
12 O 0.7223 0.2500 0.1104  1 Ge 1.73
13 O 0.8253 0.7500 0.0473  1 Ge 1.75
14 O 0.2107 0.0389 0.1755  1 Ge 1.80
15 O 0.7777 0.2500 0.6104  1 Ge 1.73
16 O 0.6747 0.7500 0.5473  1 Ge 1.75
17 O 0.2893 0.0389 0.6756  1 Ge 1.80
18 O 0.2107 0.4611 0.1755  1 Ge 1.80
19 O 0.2777 0.7500 0.8896  1 Ge 1.73
20 O 0.2893 0.4611 0.6756  1 Ge 1.80
21 Ge 0.0526 0.2500 0.0976  4 O 1.73-1.80
22 Ge 0.4474 0.2500 0.5976  4 O 1.73-1.80
23 Ge 0.9474 0.7500 0.9024  4 O 1.73-1.80
24 Ge 0.5526 0.7500 0.4024  4 O 1.73-1.80
25 Na 0.0000 0.5000 0.5000  6 O 2.33-2.51
26 Na 0.5000 0.0000 0.0000  6 O 2.33-2.51
27 Na 0.0000 0.0000 0.5000  6 O 2.33-2.51
28 Na 0.5000 0.5000 0.0000  6 O 2.33-2.51



4.
DFT (PBE-GGA) results for crystalline Cs2U2Te5 at its relaxed geometry.

Values from the calculation:
Calculated total energy = -95.22 eV/cell
Space-group type = Cmce
Calculated volume = 679.5 Å³/cell

abc: 10.3025 10.3025 8.5127
angles: 90.00 90.00 48.77
With the nearest neighbours (Å) after each atom.
Fractional coordinates of all 18 atoms:
1 U 0.6549 0.3451 0.8449  8 Te 3.11-3.24
2 U 0.1549 0.8451 0.6551  8 Te 3.11-3.24
3 U 0.8451 0.1549 0.3449  8 Te 3.11-3.24
4 U 0.3451 0.6549 0.1551  8 Te 3.11-3.24
5 Cs 0.7066 0.7066 0.5000  7 Te 3.77-3.94
6 Cs 0.7934 0.7934 0.0000  7 Te 3.77-3.94
7 Cs 0.2066 0.2066 0.0000  7 Te 3.77-3.94
8 Cs 0.2934 0.2934 0.5000  7 Te 3.77-3.94
9 Te 0.7487 0.0405 0.6458  3 U 3.11-3.24
10 Te 0.4595 0.7513 0.8542  3 U 3.11-3.24
11 Te 0.0000 0.0000 0.0000  4 U 3.22
12 Te 0.7513 0.4595 0.1458  3 U 3.11-3.24
13 Te 0.5405 0.2487 0.1458  3 U 3.11-3.24
14 Te 0.2513 0.9595 0.3542  3 U 3.11-3.24
15 Te 0.2487 0.5405 0.8542  3 U 3.11-3.24
16 Te 0.9595 0.2513 0.6458  3 U 3.11-3.24
17 Te 0.0405 0.7487 0.3542  3 U 3.11-3.24
18 Te 0.5000 0.5000 0.5000  4 U 3.22



5.
DFT (PBE-GGA) results for crystalline ErPuSb at its relaxed geometry.

Values from the calculation:
Calculated total energy = -22.84 eV/cell
Space-group type = F-43m
Calculated volume = 96.1 Å³/cell

abc: 5.1418 5.1418 5.1418
angles: 60.00 60.00 60.00
With the nearest neighbours (Å) after each atom.
Fractional coordinates of all 3 atoms:
1 Sb 0.7500 0.7500 0.7500  4 Er 3.15
2 Er 0.0000 0.0000 0.0000  4 Sb 3.15, 4 Pu 3.15
3 Pu 0.2500 0.2500 0.2500  4 Er 3.15



6.
DFT (PBE-GGA) results for crystalline Er2N at its relaxed geometry.

Values from the calculation:
Calculated total energy = -35.64 eV/cell
Space-group type = Fd-3m
Calculated volume = 260.9 Å³/cell

abc: 7.1727 7.1727 7.1727
angles: 60.00 60.00 60.00
With the nearest neighbours (Å) after each atom.
Fractional coordinates of all 6 atoms:
1 Er 0.3750 0.3750 0.8750  2 N 2.20
2 Er 0.3750 0.8750 0.3750  2 N 2.20
3 Er 0.8750 0.3750 0.3750  2 N 2.20
4 Er 0.3750 0.3750 0.3750  2 N 2.20
5 N 0.2500 0.2500 0.2500  4 Er 2.20
6 N 0.5000 0.5000 0.5000  4 Er 2.20



7.
DFT (PBE-GGA) results for crystalline BeTlTc at its relaxed geometry.

Values from the calculation:
Calculated total energy = -14.48 eV/cell
Space-group type = F-43m
Calculated volume = 47.8 Å³/cell

abc: 4.0741 4.0741 4.0741
angles: 60.00 60.00 60.00
With the nearest neighbours (Å) after each atom.
Fractional coordinates of all 3 atoms:
1 Tc 0.2500 0.2500 0.2500  4 Be 2.49
2 Tl 0.7500 0.7500 0.7500  4 Be 2.49
3 Be 0.0000 0.0000 0.0000  4 Tl 2.49, 4 Tc 2.49



8.
DFT (PBE-GGA) results for crystalline DyEr2N3 at its relaxed geometry.

Values from the calculation:
Calculated total energy = -49.24 eV/cell
Space-group type = P-3m1
Calculated volume = 85.6 Å³/cell

abc: 3.4286 3.4286 8.4089
angles: 90.00 90.00 120.00
With the nearest neighbours (Å) after each atom.
Fractional coordinates of all 6 atoms:
1 N 0.6667 0.3333 0.6691  3 Er 2.42, 3 Dy 2.44
2 N 0.0000 0.0000 0.0000  6 Er 2.42
3 N 0.3333 0.6667 0.3309  3 Er 2.42, 3 Dy 2.44
4 Er 0.3333 0.6667 0.8346  6 N 2.42
5 Er 0.6667 0.3333 0.1654  6 N 2.42
6 Dy 0.0000 0.0000 0.5000  6 N 2.44



9.
DFT (PBE-GGA) results for crystalline GdErCS at its relaxed geometry.

Values from the calculation:
Calculated total energy = -55.11 eV/cell
Space-group type = P6_3mc
Calculated volume = 153.9 Å³/cell

abc: 3.7077 3.7077 12.9256
angles: 90.00 90.00 120.00
With the nearest neighbours (Å) after each atom.
Fractional coordinates of all 8 atoms:
1 C 0.0000 0.0000 0.5020  3 Er 2.52, 3 Gd 2.54
2 C 0.0000 0.0000 0.0020  3 Er 2.52, 3 Gd 2.54
3 Gd 0.6667 0.3333 0.3965  3 C 2.54
4 Gd 0.3333 0.6667 0.8965  3 C 2.54
5 Er 0.3333 0.6667 0.6050  3 C 2.52, 3 S 2.81
6 Er 0.6667 0.3333 0.1050  3 C 2.52, 3 S 2.81
7 S 0.6667 0.3333 0.7464  3 Er 2.81, 3 Gd 2.89
8 S 0.3333 0.6667 0.2464  3 Er 2.81, 3 Gd 2.89



10.
DFT (PBE-GGA) results for crystalline Pr2Tl at its relaxed geometry.

Values from the calculation:
Calculated total energy = -15.44 eV/cell
Space-group type = Fd-3m
Calculated volume = 638.1 Å³/cell

abc: 9.6636 9.6636 9.6636
angles: 60.00 60.00 60.00
With the nearest neighbours (Å) after each atom.
Fractional coordinates of all 6 atoms:
1 Pr 0.3750 0.3750 0.8750  2 Tl 2.96
2 Pr 0.3750 0.8750 0.3750  2 Tl 2.96
3 Pr 0.3750 0.3750 0.3750  2 Tl 2.96
4 Pr 0.8750 0.3750 0.3750  2 Tl 2.96
5 Tl 0.2500 0.2500 0.2500  4 Pr 2.96
6 Tl 0.5000 0.5000 0.5000  4 Pr 2.96



11.
DFT (PBE-GGA) results for crystalline LuInGa at its relaxed geometry.

Values from the calculation:
Calculated total energy = -10.33 eV/cell
Space-group type = F-43m
Calculated volume = 81.1 Å³/cell

abc: 4.8595 4.8595 4.8595
angles: 60.00 60.00 60.00
With the nearest neighbours (Å) after each atom.
Fractional coordinates of all 3 atoms:
1 Ga 0.2500 0.2500 0.2500  4 Lu 2.98
2 In 0.7500 0.7500 0.7500  4 Lu 2.98
3 Lu 0.0000 0.0000 0.0000  4 In 2.98, 4 Ga 2.98



12.
DFT (PBE-GGA) results for crystalline Th6TlOs at its relaxed geometry.

Values from the calculation:
Calculated total energy = -58.23 eV/cell
Space-group type = R-3
Calculated volume = 244.2 Å³/cell

abc: 6.3027 6.3027 6.3027
angles: 97.03 97.03 97.03
With the nearest neighbours (Å) after each atom.
Fractional coordinates of all 8 atoms:
1 Th 0.5429 0.0919 0.2662  1 Os 2.86
2 Th 0.0919 0.2662 0.5429  1 Os 2.86
3 Th 0.2662 0.5429 0.0919  1 Os 2.86
4 Th 0.9081 0.7338 0.4571  1 Os 2.86
5 Th 0.4571 0.9081 0.7338  1 Os 2.86
6 Th 0.7338 0.4571 0.9081  1 Os 2.86
7 Os 0.5000 0.5000 0.5000  6 Th 2.86
8 Tl 0.0000 0.0000 0.0000  12 Th 3.57-3.58



Please write out number 3 again, unchanged.
DFT (PBE-GGA) results for crystalline NaTmGeO4 at its relaxed geometry.

Values from the calculation:
Calculated total energy = -190.87 eV/cell
Space-group type = Pnma
Calculated volume = 374.5 Å³/cell

abc: 5.2323 6.3413 11.2870
angles: 90.00 90.00 90.00
With the nearest neighbours (Å) after each atom.
Fractional coordinates of all 28 atoms:
1 Tm 0.9947 0.7500 0.2232  6 O 2.18-2.30
2 Tm 0.5053 0.7500 0.7232  6 O 2.18-2.30
3 Tm 0.4947 0.2500 0.2768  6 O 2.18-2.30
4 Tm 0.0053 0.2500 0.7768  6 O 2.18-2.30
5 O 0.7107 0.9611 0.3245  1 Ge 1.80
6 O 0.2223 0.7500 0.3896  1 Ge 1.73
7 O 0.1747 0.2500 0.9527  1 Ge 1.75
8 O 0.3253 0.2500 0.4527  1 Ge 1.75
9 O 0.7893 0.5389 0.8245  1 Ge 1.80
10 O 0.7893 0.9611 0.8245  1 Ge 1.80
11 O 0.7107 0.5389 0.3245  1 Ge 1.80
12 O 0.7223 0.2500 0.1104  1 Ge 1.73
13 O 0.8253 0.7500 0.0473  1 Ge 1.75
14 O 0.2107 0.0389 0.1755  1 Ge 1.80
15 O 0.7777 0.2500 0.6104  1 Ge 1.73
16 O 0.6747 0.7500 0.5473  1 Ge 1.75
17 O 0.2893 0.0389 0.6756  1 Ge 1.80
18 O 0.2107 0.4611 0.1755  1 Ge 1.80
19 O 0.2777 0.7500 0.8896  1 Ge 1.73
20 O 0.2893 0.4611 0.6756  1 Ge 1.80
21 Ge 0.0526 0.2500 0.0976  4 O 1.73-1.80
22 Ge 0.4474 0.2500 0.5976  4 O 1.73-1.80
23 Ge 0.9474 0.7500 0.9024  4 O 1.73-1.80
24 Ge 0.5526 0.7500 0.4024  4 O 1.73-1.80
25 Na 0.0000 0.5000 0.5000  6 O 2.33-2.51
26 Na 0.5000 0.0000 0.0000  6 O 2.33-2.51
27 Na 0.0000 0.0000 0.5000  6 O 2.33-2.51
28 Na 0.5000 0.5000 0.0000  6 O 2.33-2.51



Question: What is the formula in the fourth record?
Answer: Cs2U2Te5